[1]
Compound: Al2Pd
Source: the Alexandria database
Functional: GGA-PBEsol
Structure: optimized geometry

abc: 4.1611 4.1611 4.1611
angles: 60.00 60.00 60.00
With the nearest neighbours (Å) after each atom.
Atoms (fractional coordinates):
Al  0.2500  0.2500  0.2500  4 Pd 2.55
Al  0.7500  0.7500  0.7500  4 Pd 2.55
Pd  0.0000  0.0000  0.0000  8 Al 2.55

Formation energy from the elements ... -0.613 eV per atom
Symmetry ... No. 225
Volume ... 50.9 Å³/cell



[2]
Compound: AlPd
Source: the Alexandria database
Functional: GGA-PBEsol
Structure: optimized geometry

abc: 3.0400 3.0400 3.0400
angles: 90.00 90.00 90.00
With the nearest neighbours (Å) after each atom.
Atoms (fractional coordinates):
Al  0.0000  0.0000  0.0000  8 Pd 2.63
Pd  0.5000  0.5000  0.5000  8 Al 2.63

Formation energy from the elements ... -0.899 eV per atom
Symmetry ... No. 221
Volume ... 28.1 Å³/cell



[3]
Compound: AlPd
Source: the Alexandria database
Functional: GGA-PBEsol
Structure: optimized geometry

abc: 4.8484 4.8484 4.8484
angles: 90.00 90.00 90.00
With the nearest neighbours (Å) after each atom.
Atoms (fractional coordinates):
Al  0.1556  0.3444  0.6556  7 Pd 2.55-2.64
Al  0.3444  0.6556  0.1556  7 Pd 2.55-2.64
Al  0.6556  0.1556  0.3444  7 Pd 2.55-2.64
Al  0.8444  0.8444  0.8444  7 Pd 2.55-2.64
Pd  0.1478  0.1478  0.1478  7 Al 2.55-2.64
Pd  0.3522  0.8522  0.6478  7 Al 2.55-2.64
Pd  0.6478  0.3522  0.8522  7 Al 2.55-2.64
Pd  0.8522  0.6478  0.3522  7 Al 2.55-2.64

Formation energy from the elements ... -0.936 eV per atom
Symmetry ... No. 198
Volume ... 114.0 Å³/cell